# CsEr2Cu3Se5 | the Alexandria database | PBEsol | optimized geometry
# total magnetic moment	0.00	μB/atom
# E_form (uncorrected)	-1.12	eV per atom
# energy	-5.04	eV/atom
data_CsEr2Cu3Se5
_cell_length_a 4.0413
_cell_length_b 14.3709
_cell_length_c 16.9482
_cell_angle_alpha 90.00
_cell_angle_beta 90.00
_cell_angle_gamma 90.00
_symmetry_space_group_name_H-M 'C m c m'
_symmetry_Int_Tables_number 63
_symmetry_space_group_name_Hall '-C 2c 2'
loop_
_atom_site_label
_atom_site_type_symbol
_atom_site_fract_x
_atom_site_fract_y
_atom_site_fract_z
Cs1 Cs 0.0000 0.0607 0.2500
Er1 Er 0.0000 0.1927 0.5915
Cu1 Cu 0.0000 0.3447 0.2500
Cu2 Cu 0.0000 0.4154 0.5300
Se1 Se 0.0000 0.1676 0.0709
Se2 Se 0.0000 0.2402 0.7500
Se3 Se 0.0000 0.4397 0.1137